# 1
{
  "formula": "Be3TcH",
  "functional": "PBE-GGA",
  "state": "optimized geometry",
  "lattice": [[-2.7260, -3.2423, 0.4229], [3.2567, -2.6432, 0.7280], [-0.2919, 0.7897, 4.1730]],
  "species": ["Be", "Be", "H", "Tc", "Be"],
  "fractional_positions": [[0.5000, 0.0000, 0.0000], [0.0000, 0.5000, 0.0000], [0.5000, 0.5000, 0.5000], [0.0000, 0.0000, 0.0000], [0.0000, 0.0000, 0.5000]],
  "e_tot_ev_per_atom": -3.2896,
  "e_above_lowest_polymorph_ev_per_fu": 8.69,
  "magmom_total_mub_per_fu": 0.84,
  "space_group": "Pm-3m"
}



# 2
{
  "formula": "BeTc2H",
  "functional": "PBE-GGA",
  "state": "optimized geometry",
  "lattice": [[0.0000, 2.7399, 2.7399], [2.7399, 0.0000, 2.7399], [2.7399, 2.7399, 0.0000]],
  "species": ["Be", "H", "Tc", "Tc"],
  "fractional_positions": [[0.5000, 0.5000, 0.5000], [0.0000, 0.0000, 0.0000], [0.2500, 0.2500, 0.2500], [0.7500, 0.7500, 0.7500]],
  "e_tot_ev_per_atom": -6.4548,
  "e_above_lowest_polymorph_ev_per_fu": 1.79,
  "magmom_total_mub_per_fu": 0.00,
  "space_group": "Fm-3m"
}



# 3
{
  "formula": "BeTc2H",
  "functional": "PBE-GGA",
  "state": "optimized geometry",
  "lattice": [[-5.4904, -0.6743, -0.0835], [0.6794, -5.4482, -0.6787], [-2.4052, -3.3922, 2.2752]],
  "species": ["Tc", "H", "Be", "Be", "H", "Tc", "Tc", "Tc"],
  "fractional_positions": [[0.8750, 0.8100, 0.7500], [0.2500, 0.7500, 0.5000], [0.7500, 0.2500, 0.5000], [0.0000, 0.0000, 0.0000], [0.5000, 0.5000, 0.0000], [0.3750, 0.4400, 0.7500], [0.5600, 0.1250, 0.2500], [0.1900, 0.6250, 0.2500]],
  "e_tot_ev_per_atom": -6.7581,
  "e_above_lowest_polymorph_ev_per_fu": 0.58,
  "magmom_total_mub_per_fu": 0.00,
  "space_group": "I-42d"
}